Computed, not measured: crystalline PmMo6 at its relaxed geometry at the GGA-PBE level of DFT.

Lattice parameters (Å, degrees): 6.0069 6.0069 6.0069 109.47 109.47 109.47
Closest atoms and distances in Å follow each position.
Element x y z (fractional)
Pm 0.0000 0.0000 0.0000  24 Mo 3.88
Mo 0.2500 0.5000 0.7500  4 Mo 2.45
Mo 0.2500 0.7500 0.5000  4 Mo 2.45
Mo 0.5000 0.2500 0.7500  4 Mo 2.45
Mo 0.5000 0.7500 0.2500  4 Mo 2.45
Mo 0.7500 0.2500 0.5000  4 Mo 2.45
Mo 0.7500 0.5000 0.2500  4 Mo 2.45

ΔH_f (0 K)	1.4548	eV per atom
space group	No. 229
N(E_F)	10.09	states/eV/cell
uncorrected energy	-0.6253	Ry/atom
magnetization	0.0	μB/cell
V	23.84	A^3/atom